# LaFeSO2, relaxed, DFT GGA+U
# - total moment (μB/cell) = 11.97
# - electronic total energy (eV per atom) = -6.82
data_LaFeSO2
_cell_length_a 5.366
_cell_length_b 12.190
_cell_length_c 5.360
_cell_angle_alpha 90.00
_cell_angle_beta 90.00
_cell_angle_gamma 90.00
_space_group_name_H-M_alt 'C m c m'
_space_group_IT_number 63
_space_group_name_Hall '-C 2c 2'
loop_
_atom_site_label
_atom_site_fract_x
_atom_site_fract_y
_atom_site_fract_z
La1 0.000 0.143 0.250
Fe1 0.000 0.479 0.250
S1 0.000 0.249 0.750
O1 0.240 0.500 0.000